# ThUTe4

A relaxed structure of ThUTe4 (PBE, Alexandria).

Cell: 7.4629 7.4634 7.4729 Å, 90.00 90.21 90.00°
Each line ends with the local moment (μB).
Positions (direct):
Te: 0.7499 0.7506 0.2455  -0.05
Th: 0.5000 0.0000 0.5000  -0.02
Te: 0.7501 0.7494 0.7545  -0.05
Th: 0.0000 0.5000 0.5000  -0.02
U: 0.5000 0.5000 0.0000  2.24
Te: 0.2499 0.7494 0.2455  -0.05
Te: 0.7501 0.2506 0.7545  -0.05
Te: 0.2501 0.7506 0.7545  -0.05
U: 0.0000 0.0000 0.0000  2.24
Te: 0.2499 0.2506 0.2455  -0.05
Te: 0.2501 0.2494 0.7545  -0.05
Te: 0.7499 0.2494 0.2455  -0.05

## Properties
Energy above the lowest structure with this stoichiometry, meV per atom: 0.0
Crystal system: monoclinic

# ThU2Te6

A relaxed structure of ThU2Te6 (PBE, Alexandria).

Cell: 7.0738 9.6418 9.6418 Å, 65.16 73.22 73.22°
Each line ends with the local moment (μB).
Positions (direct):
Th: 0.2500 0.3161 0.6839  -0.01
Te: 0.1911 0.0661 0.5684  -0.07
U: 0.0368 0.2359 0.2368  2.31
Te: 0.4062 0.9885 0.1819  -0.09
Te: 0.8089 0.9339 0.4316  -0.07
Te: 0.6911 0.5684 0.0661  -0.07
U: 0.5368 0.2368 0.2359  2.31
Te: 0.0938 0.8182 0.0115  -0.09
Te: 0.8216 0.5299 0.6768  -0.07
Th: 0.7500 0.6839 0.3161  -0.01
Te: 0.6784 0.3232 0.4701  -0.07
U: 0.4632 0.7632 0.7641  2.31
Te: 0.9062 0.1819 0.9885  -0.09
Te: 0.1784 0.4701 0.3232  -0.07
U: 0.9632 0.7641 0.7632  2.31
Te: 0.3216 0.6768 0.5299  -0.07
Te: 0.5938 0.0115 0.8182  -0.09
Te: 0.3089 0.4316 0.9339  -0.07

## Properties
Energy above the lowest structure with this stoichiometry, meV per atom: 0.0
Crystal system: monoclinic